## LiCoP2 (GGA-PBE)

Data for an optimized crystal structure of LiCoP2.

The density of states at the Fermi level is 1.69 states/eV/f.u. As for the crystal system: tetragonal. As for the formation energy: -0.030 eV per atom. The value obtained for the distance to the lowest polymorph of the same formula is 1.46 eV/f.u. The calculation puts the energy at -19.96 eV per formula unit.

The space group is P4mm (No. 99) and the conventional cell measures 2.696, 2.696 and 7.414 Å, with angles of 90.00, 90.00 and 90.00 degrees. The inequivalent atoms are Li at (0.000, 0.000, 0.000), Co at (0.500, 0.500, 0.744), P at (0.000, 0.000, 0.588) and P at (0.500, 0.500, 0.233).

***

## Er12ThSc6 (GGA-PBE)

Data for an optimized crystal structure of Er12ThSc6.

The density of states at the Fermi level is 30.33 states/eV/f.u. As for the crystal system: trigonal. As for the formation energy: 0.047 eV per atom. The value obtained for the distance to the lowest polymorph of the same formula is 0.00 eV/f.u. The calculation puts the energy at -99.27 eV per formula unit.

The space group is R-3 (No. 148, hexagonal axes) and the conventional cell measures 15.0078, 15.0078 and 8.3743 Å, with angles of 90.00, 90.00 and 120.00 degrees. The inequivalent atoms are Er at (0.0355, 0.7587, 0.3403), Er at (0.0711, 0.5089, 0.6662), Th at (0.0000, 0.0000, 0.0000) and Sc at (0.0166, 0.8809, 0.6666).

***

Number 1: magnetic moment 0.0 μB per formula unit. Number 2: magnetic moment 0.0 μB per formula unit.